DFT (PBE-GGA) results for a relaxed structure of Pr12SmIn3.

Cell: 5.0423 5.0423 20.5881 Å, 90.00 90.00 90.00°
Positions (direct):
Pr 0.0000 0.5000 0.6225
Pr 0.0000 0.5000 0.8680
Pr 0.0000 0.5000 0.1320
Pr 0.5000 0.0000 0.8680
Pr 0.5000 0.5000 0.7445
Pr 0.5000 0.5000 0.5000
Pr 0.0000 0.5000 0.3775
Pr 0.5000 0.5000 0.2555
Pr 0.5000 0.0000 0.3775
Pr 0.5000 0.0000 0.6225
Pr 0.5000 0.5000 0.0000
Pr 0.5000 0.0000 0.1320
In 0.0000 0.0000 0.5000
In 0.0000 0.0000 0.7441
In 0.0000 0.0000 0.2559
Sm 0.0000 0.0000 0.0000

Output
Density (g/cm3): 6.93
Energy of formation from the pure elements (kJ per mole of atoms): -19.04
V (Å³ per cell): 523.45
Symmetry: P4/mmm (123)
Total moment (μB/atom): 0.00

***

DFT (PBE-GGA) results for a relaxed structure of Pr3Sm3In5.

Cell: 5.7863 9.1646 9.1646 Å, 120.00 90.00 90.00°
Positions (direct):
Sm 0.5000 0.7362 0.7362
Sm 0.5000 0.2638 0.0000
Sm 0.5000 0.0000 0.2638
Pr 0.0000 0.0000 0.5263
Pr 0.0000 0.5263 0.0000
Pr 0.0000 0.4737 0.4737
In 0.5000 0.6667 0.3333
In 0.5000 0.0000 0.6323
In 0.5000 0.3333 0.6667
In 0.5000 0.6323 0.0000
In 0.5000 0.3677 0.3677

Output
Density (g/cm3): 5.71
Energy of formation from the pure elements (kJ per mole of atoms): 14.75
V (Å³ per cell): 420.88
Symmetry: P-62m (189)
Total moment (μB/atom): 0.00

***

DFT (PBE-GGA) results for a relaxed structure of Pr3SmIn4.

Cell: 3.8856 3.8856 15.5478 Å, 90.00 90.00 90.00°
Positions (direct):
In 0.0000 0.0000 0.1196
In 0.0000 0.0000 0.6265
In 0.0000 0.0000 0.3735
In 0.0000 0.0000 0.8804
Pr 0.5000 0.5000 0.7530
Pr 0.5000 0.5000 0.2470
Pr 0.5000 0.5000 0.5000
Sm 0.5000 0.5000 0.0000

Output
Energy relative to the lowest polymorph listed for this composition (meV/atom): 0
Density (g/cm3): 7.30
Energy of formation from the pure elements (kJ per mole of atoms): -47.72
V (Å³ per cell): 234.74
Symmetry: P4/mmm (123)
Total moment (μB/atom): 0.00